Record 1
A plane-wave DFT calculation with PBE was carried out for a relaxed structure of InGa2FeHg.

Output
**Volume**: 21.92 A^3/atom
**Total magnetization**: 0.2 Bohr magnetons per cell
**Formation energy from the elements**: 78 meV per atom

a b c (Å): 4.655 4.655 5.057
angles (deg): 90.00 90.00 90.00
Space group P4/mmm (No. 123)
One atom of each set of equivalent atoms:
In  0.000  0.000  0.000 [1 per cell]
Ga  0.000  0.500  0.500 [2 per cell]
Fe  0.000  0.000  0.500 [1 per cell]
Hg  0.500  0.500  0.000 [1 per cell]


Record 2
A plane-wave DFT calculation with PBE was carried out for a relaxed structure of RbLi3U2S6.

Output
**Volume**: 25.12 A^3/atom
**Total magnetization**: 8.0 Bohr magnetons per cell
**ΔE_f (raw)**: -1340 meV/atom

a b c (Å): 15.832 3.984 9.670
angles (deg): 90.00 98.69 90.00
Space group C2/m (No. 12)
One atom of each set of equivalent atoms:
Rb  0.000  0.000  0.000 [2 per cell]
Li  0.000  0.000  0.500 [2 per cell]
Li  0.148  0.500  0.706 [4 per cell]
U  0.168  0.500  0.346 [4 per cell]
S  0.005  0.500  0.290 [4 per cell]
S  0.162  0.000  0.544 [4 per cell]
S  0.201  0.000  0.179 [4 per cell]


Record 3
A plane-wave DFT calculation with PBE was carried out for a relaxed structure of Li2NiB.

Output
**Volume**: 9.89 A^3/atom
**Total magnetization**: 0.0 Bohr magnetons per cell
**Formation energy from the elements**: 311 meV per atom

a b c (Å): 3.040 3.040 17.123
angles (deg): 90.00 90.00 90.00
Space group I-42d (No. 122)
One atom of each set of equivalent atoms:
Li  0.235  0.250  0.125 [8 per cell]
Ni  0.000  0.000  0.500 [4 per cell]
B  0.000  0.000  0.000 [4 per cell]


Record 4
A plane-wave DFT calculation with PBE was carried out for a relaxed structure of Mg4CoSe.

Output
**Volume**: 20.55 A^3/atom
**Total magnetization**: 4.1 Bohr magnetons per cell
**ΔE_f (raw)**: 361 meV/atom

a b c (Å): 7.901 7.901 7.901
angles (deg): 90.00 90.00 90.00
Space group F-43m (No. 216)
One atom of each set of equivalent atoms:
Mg  0.125  0.125  0.125 [16 per cell]
Co  0.000  0.000  0.500 [4 per cell]
Se  0.250  0.250  0.750 [4 per cell]


Record 5
A plane-wave DFT calculation with PBE was carried out for a relaxed structure of PmDy5Th2.

Output
**Volume**: 32.70 A^3/atom
**Total magnetization**: 0.0 Bohr magnetons per cell
**Formation energy from the elements**: 98 meV per atom

a b c (Å): 3.526 11.203 13.247
angles (deg): 90.00 90.00 90.00
Space group Immm (No. 71)
One atom of each set of equivalent atoms:
Pm  0.000  0.000  0.000 [2 per cell]
Dy  0.000  0.230  0.369 [8 per cell]
Dy  0.000  0.500  0.000 [2 per cell]
Th  0.000  0.500  0.261 [4 per cell]


Record 6
A plane-wave DFT calculation with PBE was carried out for a relaxed structure of BaSrW2.

Output
**Volume**: 24.43 A^3/atom
**Total magnetization**: 0.0 Bohr magnetons per cell
**Formation energy from the elements**: 1587 meV per atom
**Polymorph energy (0 for the lowest one)**: 861 meV per atom

a b c (Å): 7.312 7.312 7.312
angles (deg): 90.00 90.00 90.00
Space group F-43m (No. 216)
One atom of each set of equivalent atoms:
Ba  0.000  0.000  0.000 [4 per cell]
Sr  0.250  0.250  0.250 [4 per cell]
W  0.000  0.000  0.500 [4 per cell]
W  0.250  0.250  0.750 [4 per cell]


Record 7
A plane-wave DFT calculation with PBE was carried out for a relaxed structure of Ho4CdPd2Rh.

Output
**Volume**: 21.99 A^3/atom
**Total magnetization**: 0.0 Bohr magnetons per cell
**Formation energy from the elements**: -745 meV per atom

a b c (Å): 5.0046 5.0046 24.3367
angles (deg): 90.00 90.00 120.00
Space group R-3m (No. 166, hexagonal axes)
One atom of each set of equivalent atoms:
Ho  0.0000  0.0000  0.1173 [6 per cell]
Ho  0.0000  0.0000  0.3687 [6 per cell]
Cd  0.0000  0.0000  0.5000 [3 per cell]
Pd  0.0000  0.0000  0.2454 [6 per cell]
Rh  0.0000  0.0000  0.0000 [3 per cell]


Record 8
A plane-wave DFT calculation with PBE was carried out for a relaxed structure of Li2UTiO6.

Output
**Volume**: 11.30 A^3/atom
**Total magnetization**: 0.0 Bohr magnetons per cell
**ΔE_f (raw)**: -2771 meV/atom

a b c (Å): 5.287 5.533 9.356
angles (deg): 90.00 124.32 90.00
Space group P2_1/c (No. 14)
One atom of each set of equivalent atoms:
Li  0.244  0.006  0.246 [4 per cell]
U  0.000  0.000  0.500 [2 per cell]
Ti  0.500  0.000  0.000 [2 per cell]
O  0.140  0.041  0.758 [4 per cell]
O  0.248  0.682  0.559 [4 per cell]
O  0.387  0.195  0.563 [4 per cell]


Record 9
A plane-wave DFT calculation with PBE was carried out for a relaxed structure of Cs2TiNbHg.

Output
**Volume**: 46.65 A^3/atom
**Total magnetization**: 0.1 Bohr magnetons per cell
**Formation energy from the elements**: 1121 meV per atom

a b c (Å): 7.108 7.108 4.616
angles (deg): 90.00 90.00 90.00
Space group P4/mmm (No. 123)
One atom of each set of equivalent atoms:
Cs  0.000  0.500  0.000 [2 per cell]
Ti  0.000  0.000  0.000 [1 per cell]
Nb  0.000  0.000  0.500 [1 per cell]
Hg  0.500  0.500  0.500 [1 per cell]


Record 10
A plane-wave DFT calculation with PBE was carried out for a relaxed structure of LaGa3P.

Output
**Volume**: 24.89 A^3/atom
**Total magnetization**: 0.0 Bohr magnetons per cell
**Formation energy from the elements**: -40 meV per atom
**Polymorph energy (0 for the lowest one)**: 0 meV per atom

a b c (Å): 4.992 4.992 4.992
angles (deg): 90.00 90.00 90.00
Space group Pm-3m (No. 221)
One atom of each set of equivalent atoms:
La  0.000  0.000  0.000 [1 per cell]
Ga  0.000  0.500  0.500 [3 per cell]
P  0.500  0.500  0.500 [1 per cell]


Record 11
A plane-wave DFT calculation with PBE was carried out for a relaxed structure of YCoPt.

Output
**Volume**: 19.08 A^3/atom
**Total magnetization**: 0.2 Bohr magnetons per cell
**Formation energy from the elements**: -643 meV per atom

a b c (Å): 4.1380 4.1380 3.8594
angles (deg): 90.00 90.00 120.00
Space group P-6m2 (No. 187)
One atom of each set of equivalent atoms:
Y  0.0000  0.0000  0.0000 [1 per cell]
Co  0.6667  0.3333  0.5000 [1 per cell]
Pt  0.3333  0.6667  0.5000 [1 per cell]


Record 12
A plane-wave DFT calculation with PBE was carried out for a relaxed structure of AuSe2S2.

Output
**Volume**: 24.27 A^3/atom
**Total magnetization**: 0.0 Bohr magnetons per cell
**Polymorph energy (0 for the lowest one)**: 170 meV per atom
**ΔE_f (raw)**: 360 meV/atom

a b c (Å): 7.789 7.789 4.000
angles (deg): 90.00 90.00 90.00
Space group P4/mbm (No. 127)
One atom of each set of equivalent atoms:
Au  0.000  0.000  0.000 [2 per cell]
Se  0.246  0.254  0.000 [4 per cell]
S  0.148  0.648  0.500 [4 per cell]